A plane-wave DFT calculation with PBE was carried out for crystalline SrH2SN at its relaxed geometry.

```
data_SrH2SN
_chemical_formula_sum 'Sr1 H2 S1 N1'
_cell_length_a 3.8483
_cell_length_b 3.8483
_cell_length_c 5.2310
_cell_angle_alpha 90.00
_cell_angle_beta 90.00
_cell_angle_gamma 90.00
_space_group_name_H-M_alt 'P 4/m m m'
_space_group_IT_number 123
_space_group_name_Hall '-P 4 2'
loop_
_atom_site_label
_atom_site_fract_x
_atom_site_fract_y
_atom_site_fract_z
Sr1 0.0000 0.0000 0.0000
H1 0.0000 0.5000 0.5000
S1 0.5000 0.5000 0.0000
N1 0.0000 0.0000 0.5000
```

Values from the calculation:
ΔE to the lowest computed polymorph = 0.4376 eV/atom
Calculated volume = 77.5 Å³/f.u.

=====

A plane-wave DFT calculation with PBE was carried out for crystalline BeSb2Te at its relaxed geometry.

```
data_BeSb2Te
_chemical_formula_sum 'Be4 Sb8 Te4'
_cell_length_a 7.2671
_cell_length_b 7.2671
_cell_length_c 7.2671
_cell_angle_alpha 90.00
_cell_angle_beta 90.00
_cell_angle_gamma 90.00
_space_group_name_H-M_alt 'F m -3 m'
_space_group_IT_number 225
_space_group_name_Hall '-F 4 2 3'
loop_
_atom_site_label
_atom_site_fract_x
_atom_site_fract_y
_atom_site_fract_z
Be1 0.0000 0.0000 0.0000
Sb1 0.2500 0.2500 0.2500
Te1 0.0000 0.0000 0.5000
```

Values from the calculation:
ΔE to the lowest computed polymorph = 0.5790 eV/atom
Calculated volume = 95.9 Å³/f.u.

=====

A plane-wave DFT calculation with PBE was carried out for crystalline LiCd4Ag6 at its relaxed geometry.

```
data_LiCd4Ag6
_chemical_formula_sum 'Li2 Cd8 Ag12'
_cell_length_a 5.5590
_cell_length_b 5.5590
_cell_length_c 14.4261
_cell_angle_alpha 90.00
_cell_angle_beta 90.00
_cell_angle_gamma 90.00
_space_group_name_H-M_alt 'I -4 2 m'
_space_group_IT_number 121
_space_group_name_Hall 'I -4 2'
loop_
_atom_site_label
_atom_site_fract_x
_atom_site_fract_y
_atom_site_fract_z
Li1 0.0000 0.0000 0.0000
Cd1 0.1936 0.1936 0.8338
Ag1 0.0000 0.5000 0.0000
Ag2 0.1862 0.1862 0.6348
```

Values from the calculation:
ΔE_f = 31.0 meV per atom
Calculated volume = 222.9 Å³/f.u.

=====

A plane-wave DFT calculation with PBE was carried out for crystalline CuHgAu2 at its relaxed geometry.

```
data_CuHgAu2
_chemical_formula_sum 'Cu2 Hg2 Au4'
_cell_length_a 5.8710
_cell_length_b 6.4740
_cell_length_c 3.7378
_cell_angle_alpha 90.00
_cell_angle_beta 90.00
_cell_angle_gamma 90.00
_space_group_name_H-M_alt 'C m m m'
_space_group_IT_number 65
_space_group_name_Hall '-C 2 2'
loop_
_atom_site_label
_atom_site_fract_x
_atom_site_fract_y
_atom_site_fract_z
Cu1 0.0000 0.0000 0.0000
Hg1 0.0000 0.5000 0.0000
Au1 0.2500 0.2500 0.5000
```

Values from the calculation:
ΔE_f = 95.6 meV per atom
Calculated volume = 71.0 Å³/f.u.

=====

A plane-wave DFT calculation with PBE was carried out for crystalline SrDy4Tl4 at its relaxed geometry.

```
data_SrDy4Tl4
_chemical_formula_sum 'Sr2 Dy8 Tl8'
_cell_length_a 10.1083
_cell_length_b 10.1083
_cell_length_c 6.1805
_cell_angle_alpha 90.00
_cell_angle_beta 90.00
_cell_angle_gamma 90.00
_space_group_name_H-M_alt 'P 42/n'
_space_group_IT_number 86
loop_
_space_group_symop_operation_xyz
'x,y,z'
'-x,-y,-z'
'-y,x+1/2,z+1/2'
'y,-x+1/2,-z+1/2'
'-x+1/2,-y+1/2,z'
'x+1/2,y+1/2,-z'
'y+1/2,-x,z+1/2'
'-y+1/2,x,-z+1/2'
loop_
_atom_site_label
_atom_site_fract_x
_atom_site_fract_y
_atom_site_fract_z
Sr1 0.2500 0.2500 0.2500
Dy1 0.0983 0.6451 0.1468
Tl1 0.0451 0.6042 0.6550
```

Values from the calculation:
ΔE_f = -130.4 meV per atom
Calculated volume = 315.8 Å³/f.u.

=====

A plane-wave DFT calculation with PBE was carried out for crystalline Ba2PrPaSb4 at its relaxed geometry.

```
data_Ba2PrPaSb4
_chemical_formula_sum 'Ba2 Pr1 Pa1 Sb4'
_cell_length_a 8.0384
_cell_length_b 4.6739
_cell_length_c 8.3839
_cell_angle_alpha 90.00
_cell_angle_beta 108.71
_cell_angle_gamma 90.00
_space_group_name_H-M_alt 'P 1 2/m 1'
_space_group_IT_number 10
loop_
_space_group_symop_operation_xyz
'x,y,z'
'-x,-y,-z'
'-x,y,-z'
'x,-y,z'
loop_
_atom_site_label
_atom_site_fract_x
_atom_site_fract_y
_atom_site_fract_z
Ba1 0.0000 0.0000 0.0000
Ba2 0.5000 0.5000 0.0000
Pr1 0.0000 0.5000 0.5000
Pa1 0.5000 0.0000 0.5000
Sb1 0.2536 0.0000 0.7141
Sb2 0.2769 0.5000 0.2921
```

Values from the calculation:
Calculated volume = 298.3 Å³/f.u.

=====

| no. | total energy (eV per atom) |
| --- | --- |
| 1 | -3.52 |
| 2 | -3.11 |
| 3 | -2.03 |
| 4 | -2.64 |
| 5 | -3.41 |
| 6 | -5.26 |